Entry 1:
Here is a relaxed Sm3ErSb2C crystal from Alexandria. Energies are from PBE.

```
Sm3ErSb2C
1.0
4.7644 0.0000 0.0000
0.0000 4.8889 0.0000
-2.3822 -2.4445 8.0788
Sb Sm Er C
2 3 1 1
Direct
0.6398 0.6398 0.2797 Sb
0.3602 0.3602 0.7203 Sb
0.8397 0.8397 0.6794 Sm
0.0000 0.5000 0.0000 Sm
0.1603 0.1603 0.3206 Sm
0.5000 0.0000 0.0000 Er
0.0000 0.0000 0.0000 C
```

**Total energy**: -5.949 eV per atom
**Crystal system**: orthorhombic
**Formation energy from raw total energies**: -0.78 eV per atom
**Total moment**: 0.00 μB per atom

Entry 2:
Here is a relaxed Sm2Er2Sb2C crystal from Alexandria. Energies are from PBE.

```
Sm2Er2Sb2C
1.0
4.7412 0.0000 0.0000
0.0000 4.7412 0.0000
-2.3706 -2.3706 8.0690
Er Sb C Sm
2 2 1 2
Direct
0.0000 0.5000 0.0000 Er
0.5000 0.0000 0.0000 Er
0.3620 0.3620 0.7240 Sb
0.6380 0.6380 0.2760 Sb
0.0000 0.0000 0.0000 C
0.8382 0.8382 0.6764 Sm
0.1618 0.1618 0.3236 Sm
```

**Total energy**: -5.987 eV per atom
**Crystal system**: tetragonal
**Formation energy from raw total energies**: -0.84 eV per atom
**Total moment**: 0.00 μB per atom

Entry 3:
Here is a relaxed Tb3ErSb2C crystal from Alexandria. Energies are from PBE.

```
Tb3ErSb2C
1.0
-0.4361 3.5917 3.0750
-2.2366 -2.9211 3.0946
8.3085 -2.2530 0.1440
Er Tb Sb C
1 3 2 1
Direct
0.5000 0.0000 0.0000 Er
0.1581 0.1581 0.3163 Tb
0.0000 0.5000 0.0000 Tb
0.8419 0.8419 0.6837 Tb
0.6413 0.6413 0.2826 Sb
0.3587 0.3587 0.7174 Sb
0.0000 0.0000 0.0000 C
```

**Total energy**: -5.922 eV per atom
**Crystal system**: orthorhombic
**Formation energy from raw total energies**: -0.79 eV per atom
**Total moment**: 0.00 μB per atom

Entry 4:
Here is a relaxed Tb2Er2Sb2C crystal from Alexandria. Energies are from PBE.

```
Tb2Er2Sb2C
1.0
-3.3282 -1.3106 3.1073
2.5278 -3.8593 1.0798
4.1311 6.6234 3.6061
Sb C Er Tb
2 1 2 2
Direct
0.6406 0.6406 0.2813 Sb
0.3594 0.3594 0.7187 Sb
0.0000 0.0000 0.0000 C
0.0000 0.5000 0.0000 Er
0.5000 0.0000 0.0000 Er
0.1589 0.1589 0.3177 Tb
0.8411 0.8411 0.6823 Tb
```

**Total energy**: -5.934 eV per atom
**Crystal system**: tetragonal
**Formation energy from raw total energies**: -0.81 eV per atom
**Total moment**: 0.00 μB per atom

Entry 5:
Here is a relaxed Er2Ti2Sb2C crystal from Alexandria. Energies are from PBE.

```
Er2Ti2Sb2C
1.0
-2.7069 -2.7478 1.8659
1.5267 -3.1670 -2.4491
5.8807 1.3748 5.6362
Er Sb Ti C
2 2 2 1
Direct
0.1614 0.1614 0.3229 Er
0.8386 0.8386 0.6771 Er
0.6346 0.6346 0.2691 Sb
0.3654 0.3654 0.7309 Sb
0.0000 0.5000 0.0000 Ti
0.5000 0.0000 0.0000 Ti
0.0000 0.0000 0.0000 C
```

**Total energy**: -6.883 eV per atom
**Crystal system**: tetragonal
**Formation energy from raw total energies**: -0.83 eV per atom
**Total moment**: 0.00 μB per atom

Entry 6:
Here is a relaxed Er4TlSbC crystal from Alexandria. Energies are from PBE.

```
Er4TlSbC
1.0
6.7248 0.0000 0.0000
0.0000 6.7215 0.0000
-3.3624 0.0000 7.8561
Er Sb Tl C
8 2 2 2
Direct
0.0000 0.5000 0.5000 Er
0.4072 0.7500 0.8144 Er
0.5000 0.0000 0.5000 Er
0.5928 0.2500 0.1856 Er
0.0897 0.7500 0.1794 Er
0.5000 0.5000 0.5000 Er
0.0000 0.0000 0.5000 Er
0.9103 0.2500 0.8206 Er
0.3912 0.2500 0.7824 Sb
0.6088 0.7500 0.2176 Sb
0.1101 0.2500 0.2201 Tl
0.8899 0.7500 0.7799 Tl
0.2509 0.7500 0.5018 C
0.7491 0.2500 0.4982 C
```

**Total energy**: -5.472 eV per atom
**Crystal system**: orthorhombic
**Formation energy from raw total energies**: -0.62 eV per atom
**Total moment**: 0.00 μB per atom

Entry 7:
Here is a relaxed Er3TmSb2C crystal from Alexandria. Energies are from PBE.

```
Er3TmSb2C
1.0
4.7166 0.0000 0.0000
0.0000 4.7382 0.0000
-2.3583 -2.3691 7.7981
Er Sb Tm C
3 2 1 1
Direct
0.8432 0.8432 0.6864 Er
0.1568 0.1568 0.3136 Er
0.0000 0.5000 0.0000 Er
0.6424 0.6424 0.2848 Sb
0.3576 0.3576 0.7152 Sb
0.5000 0.0000 0.0000 Tm
0.0000 0.0000 0.0000 C
```

**Total energy**: -5.870 eV per atom
**Crystal system**: orthorhombic
**Formation energy from raw total energies**: -0.78 eV per atom
**Total moment**: 0.00 μB per atom

Entry 8:
Here is a relaxed Er2Tm2Sb2C crystal from Alexandria. Energies are from PBE.

```
Er2Tm2Sb2C
1.0
4.7137 0.0000 0.0000
0.0000 4.7137 0.0000
-2.3569 -2.3569 7.7987
Tm Er Sb C
2 2 2 1
Direct
0.5000 0.0000 0.0000 Tm
0.0000 0.5000 0.0000 Tm
0.8429 0.8429 0.6859 Er
0.1571 0.1571 0.3141 Er
0.6422 0.6422 0.2844 Sb
0.3578 0.3578 0.7156 Sb
0.0000 0.0000 0.0000 C
```

**Total energy**: -5.862 eV per atom
**Crystal system**: tetragonal
**Formation energy from raw total energies**: -0.79 eV per atom
**Total moment**: 0.00 μB per atom

Entry 9:
Here is a relaxed ErTm3Sb2C crystal from Alexandria. Energies are from PBE.

```
ErTm3Sb2C
1.0
4.7382 0.0000 0.0000
0.0000 4.7161 0.0000
-2.3691 -2.3580 7.7591
C Tm Sb Er
1 3 2 1
Direct
0.0000 0.0000 0.0000 C
0.8438 0.8438 0.6877 Tm
0.1562 0.1562 0.3123 Tm
0.0000 0.5000 0.0000 Tm
0.6431 0.6431 0.2862 Sb
0.3569 0.3569 0.7138 Sb
0.5000 0.0000 0.0000 Er
```

**Total energy**: -5.828 eV per atom
**Crystal system**: orthorhombic
**Formation energy from raw total energies**: -0.76 eV per atom
**Total moment**: 0.00 μB per atom

Entry 10:
Here is a relaxed Y3ErSb2C crystal from Alexandria. Energies are from PBE.

```
Y3ErSb2C
1.0
-3.6048 -1.3529 2.7796
-2.2224 -1.8817 -3.7980
6.5129 -5.2797 1.8201
Y Sb Er C
3 2 1 1
Direct
0.1584 0.1584 0.3169 Y
0.0000 0.5000 0.0000 Y
0.8416 0.8416 0.6831 Y
0.6417 0.6417 0.2835 Sb
0.3583 0.3583 0.7165 Sb
0.5000 0.0000 0.0000 Er
0.0000 0.0000 0.0000 C
```

**Total energy**: -6.728 eV per atom
**Crystal system**: orthorhombic
**Formation energy from raw total energies**: -0.81 eV per atom
**Total moment**: 0.00 μB per atom

Entry 11:
Here is a relaxed Er3ScC2 crystal from Alexandria. Energies are from PBE.

```
Er3ScC2
1.0
6.0527 0.0000 0.0000
0.0000 6.0408 -3.4877
0.0000 0.0000 6.9753
Er Sc C
6 2 4
Direct
0.7758 0.6681 0.8340 Er
0.2242 0.3319 0.1659 Er
0.7758 0.1659 0.3319 Er
0.2242 0.8340 0.1659 Er
0.7758 0.1659 0.8340 Er
0.2242 0.8340 0.6681 Er
0.8093 0.6667 0.3333 Sc
0.1907 0.3333 0.6667 Sc
0.0000 0.0000 0.5000 C
0.0000 0.5000 0.0000 C
0.0000 0.0000 0.0000 C
0.0000 0.5000 0.5000 C
```

**Total energy**: -6.733 eV per atom
**DFT formation energy**: -1.9 eV per formula unit
**Crystal system**: trigonal
**Total moment**: 0.08 μB per atom

Entry 12:
Here is a relaxed Er2ScC crystal from Alexandria. Energies are from PBE.

```
Er2ScC
1.0
-1.2786 -1.6931 -2.7360
1.3877 -3.0199 -0.9704
-5.8182 -6.0264 4.2576
Er Sc C
2 1 1
Direct
0.1181 0.1181 0.6458 Er
0.8819 0.8819 0.3542 Er
0.0000 0.0000 0.0000 Sc
0.5000 0.5000 0.5000 C
```

**Total energy**: -6.221 eV per atom
**DFT formation energy**: -0.2 eV per formula unit
**Crystal system**: trigonal
**Total moment**: 0.16 μB per atom

Entry 13:
Here is a relaxed ErScC crystal from Alexandria. Energies are from PBE.

```
ErScC
1.0
-2.9067 1.8353 0.2751
-2.0729 -3.9297 4.3361
3.0456 4.4354 2.5907
Er C Sc
2 2 2
Direct
0.4377 0.6968 0.7703 Er
0.9374 0.1548 0.7630 Er
0.9376 0.9292 0.0269 C
0.4376 0.9224 0.5064 C
0.9377 0.7174 0.2759 Sc
0.4375 0.1343 0.2574 Sc
```

**Polymorph energy (0 for the lowest one)**: 0.000 eV/atom
**Total energy**: -7.079 eV per atom
**DFT formation energy**: -1.1 eV per formula unit
**Crystal system**: monoclinic
**Total moment**: 0.11 μB per atom

Entry 14:
Here is a relaxed Er2Sc2C3 crystal from Alexandria. Energies are from PBE.

```
Er2Sc2C3
1.0
3.3793 0.0000 1.0325
0.9076 6.6466 3.0756
0.0154 1.4459 5.9957
C Sc Er
3 2 2
Direct
0.7614 0.7334 0.7438 C
0.2386 0.2666 0.2562 C
0.0000 0.0000 0.0000 C
0.1558 0.6591 0.0292 Sc
0.8442 0.3409 0.9708 Sc
0.3792 0.8764 0.3653 Er
0.6208 0.1236 0.6347 Er
```

**Total energy**: -7.419 eV per atom
**DFT formation energy**: -2.5 eV per formula unit
**Crystal system**: monoclinic
**Total moment**: 0.00 μB per atom

Entry 15:
Here is a relaxed ErSc2C crystal from Alexandria. Energies are from PBE.

```
ErSc2C
1.0
-2.9951 -0.1057 1.4419
-2.4051 -1.8945 -1.2991
0.9131 -7.6260 5.1732
Sc Er C
2 1 1
Direct
0.1219 0.1219 0.6344 Sc
0.8781 0.8781 0.3656 Sc
0.0000 0.0000 0.0000 Er
0.5000 0.5000 0.5000 C
```

**Total energy**: -6.812 eV per atom
**DFT formation energy**: -0.8 eV per formula unit
**Crystal system**: trigonal
**Total moment**: 0.15 μB per atom

Entry 16:
Here is a relaxed Er12ScC7 crystal from Alexandria. Energies are from PBE.

```
Er12ScC7
1.0
-7.4371 -0.7549 -2.7839
3.8963 -6.7659 -1.6347
-0.4421 0.6835 7.9353
Er C Sc
12 7 1
Direct
0.2141 0.0707 0.6926 Er
0.6926 0.2141 0.0707 Er
0.1570 0.3716 0.4407 Er
0.0707 0.6926 0.2141 Er
0.8430 0.6284 0.5593 Er
0.6284 0.5593 0.8430 Er
0.5593 0.8430 0.6284 Er
0.4407 0.1570 0.3716 Er
0.9293 0.3074 0.7859 Er
0.3074 0.7859 0.9293 Er
0.7859 0.9293 0.3074 Er
0.3716 0.4407 0.1570 Er
0.1136 0.0382 0.3484 C
0.5000 0.5000 0.5000 C
0.3484 0.1136 0.0382 C
0.6516 0.8864 0.9618 C
0.9618 0.6516 0.8864 C
0.8864 0.9618 0.6516 C
0.0382 0.3484 0.1136 C
0.0000 0.0000 0.0000 Sc
```

**Total energy**: -6.572 eV per atom
**DFT formation energy**: -5.8 eV per formula unit
**Crystal system**: trigonal
**Total moment**: 0.00 μB per atom

Entry 17:
Here is a relaxed ErScC crystal from Alexandria. Energies are from PBE.

```
ErScC
1.0
4.5364 -1.0126 0.3680
1.0308 4.8327 0.5990
2.2659 1.4028 5.4738
Sc C Er
2 2 2
Direct
0.8553 0.1053 0.2894 Sc
0.1447 0.8947 0.7106 Sc
0.6289 0.8794 0.7419 C
0.3711 0.1206 0.2581 C
0.6114 0.3614 0.7771 Er
0.3886 0.6386 0.2229 Er
```

**Polymorph energy (0 for the lowest one)**: 0.049 eV/atom
**Total energy**: -7.030 eV per atom
**DFT formation energy**: -1.0 eV per formula unit
**Crystal system**: orthorhombic
**Total moment**: 0.00 μB per atom

Entry 18:
Here is a relaxed ErScC crystal from Alexandria. Energies are from PBE.

```
ErScC
1.0
-2.7118 2.0680 0.4090
0.8271 -2.2538 2.4565
3.4766 4.0547 2.5496
Sc Er C
1 1 1
Direct
0.3333 0.6667 0.5435 Sc
0.0000 0.0000 0.1103 Er
0.6667 0.3333 0.3462 C
```

**Polymorph energy (0 for the lowest one)**: 0.034 eV/atom
**Total energy**: -7.046 eV per atom
**DFT formation energy**: -1.0 eV per formula unit
**Crystal system**: trigonal
**Total moment**: 0.00 μB per atom

Entry 19:
Here is a relaxed ErSc2C2 crystal from Alexandria. Energies are from PBE.

```
ErSc2C2
1.0
3.3550 0.0000 -0.9659
-0.4369 4.3590 -1.5175
-0.0655 -0.3548 6.0818
C Sc Er
2 2 1
Direct
0.6663 0.1663 0.3326 C
0.3337 0.8337 0.6674 C
0.3047 0.3047 0.6095 Sc
0.6953 0.6953 0.3905 Sc
0.0000 0.0000 0.0000 Er
```

**Total energy**: -7.541 eV per atom
**DFT formation energy**: -2.0 eV per formula unit
**Crystal system**: orthorhombic
**Total moment**: 0.18 μB per atom

Entry 20:
Here is a relaxed Er2Sc2Sn2C crystal from Alexandria. Energies are from PBE.

```
Er2Sc2Sn2C
1.0
4.5245 0.0000 0.0000
0.0000 4.5245 0.0000
-2.2623 -2.2623 7.8122
Er Sc C Sn
2 2 1 2
Direct
0.1578 0.1578 0.3156 Er
0.8422 0.8422 0.6844 Er
0.5000 0.0000 0.0000 Sc
0.0000 0.5000 0.0000 Sc
0.0000 0.0000 0.0000 C
0.6372 0.6372 0.2744 Sn
0.3628 0.3628 0.7256 Sn
```

**Total energy**: -6.378 eV per atom
**DFT formation energy**: -5.6 eV per formula unit
**Crystal system**: tetragonal
**Total moment**: 0.00 μB per atom

Entry 21:
Here is a relaxed Er2ScSnC crystal from Alexandria. Energies are from PBE.

```
Er2ScSnC
1.0
4.5706 0.0000 0.0000
0.0000 4.8293 0.0000
0.0000 0.0000 4.8293
Sc Er C Sn
1 2 1 1
Direct
0.5000 0.0000 0.0000 Sc
0.0000 0.5000 0.0000 Er
0.0000 0.0000 0.5000 Er
0.0000 0.0000 0.0000 C
0.5000 0.5000 0.5000 Sn
```

**Total energy**: -6.427 eV per atom
**DFT formation energy**: -3.5 eV per formula unit
**Crystal system**: tetragonal
**Total moment**: 0.00 μB per atom

Entry 22:
Here is a relaxed ErSc2UC4 crystal from Alexandria. Energies are from PBE.

```
ErSc2UC4
1.0
3.4560 0.0000 0.0000
0.0000 5.8960 -0.0815
0.0000 2.1076 5.5714
Er C Sc U
1 4 2 1
Direct
0.0000 0.5000 0.5000 Er
0.0000 0.7432 0.7659 C
0.5000 0.2531 0.7696 C
0.5000 0.7469 0.2304 C
0.0000 0.2568 0.2341 C
0.5000 0.0000 0.5000 Sc
0.0000 0.0000 0.0000 Sc
0.5000 0.5000 0.0000 U
```

**Total energy**: -8.472 eV per atom
**DFT formation energy**: -2.4 eV per formula unit
**Crystal system**: monoclinic
**Total moment**: 0.00 μB per atom

Entry 23:
Here is a relaxed ErSc2W2C4 crystal from Alexandria. Energies are from PBE.

```
ErSc2W2C4
1.0
3.2132 0.0000 0.0000
-1.6066 7.4284 0.3480
0.0000 -2.2872 4.9926
Er C Sc W
1 4 2 2
Direct
0.0000 0.0000 0.0000 Er
0.5360 0.0720 0.6204 C
0.2364 0.4728 0.2332 C
0.7636 0.5272 0.7668 C
0.4640 0.9280 0.3796 C
0.1605 0.3210 0.5189 Sc
0.8395 0.6790 0.4811 Sc
0.3330 0.6660 0.0220 W
0.6670 0.3340 0.9780 W
```

**Total energy**: -9.009 eV per atom
**DFT formation energy**: -1.1 eV per formula unit
**Crystal system**: monoclinic
**Total moment**: 0.00 μB per atom

Entry 24:
Here is a relaxed Er4CSe crystal from Alexandria. Energies are from PBE.

```
Er4CSe
1.0
-0.4309 -1.9009 -3.1188
0.8469 -4.8556 5.0110
-6.2692 2.4088 -0.6020
Er C Se
4 1 1
Direct
0.3856 0.7712 0.7623 Er
0.6144 0.2288 0.2377 Er
0.8745 0.7490 0.1761 Er
0.1255 0.2510 0.8239 Er
0.0000 0.0000 0.0000 C
0.5000 0.0000 0.5000 Se
```

**Polymorph energy (0 for the lowest one)**: 0.047 eV/atom
**Total energy**: -5.825 eV per atom
**Crystal system**: monoclinic
**Formation energy from raw total energies**: -0.66 eV per atom
**Total moment**: 0.14 μB per atom

Entry 25:
Here is a relaxed Er2C2Se crystal from Alexandria. Energies are from PBE.

```
Er2C2Se
1.0
3.8457 0.0000 -1.0397
-0.3182 6.7104 -1.1770
-0.1695 -0.3139 7.0048
C Er Se
4 4 2
Direct
0.8982 0.4640 0.5464 C
0.3518 0.0360 0.4536 C
0.6482 0.9640 0.5464 C
0.1018 0.5360 0.4536 C
0.5325 0.3615 0.7099 Er
0.1773 0.8615 0.7099 Er
0.8227 0.1385 0.2901 Er
0.4675 0.6385 0.2901 Er
0.7903 0.7500 0.0000 Se
0.2097 0.2500 0.0000 Se
```

**Total energy**: -7.100 eV per atom
**Crystal system**: monoclinic
**Formation energy from raw total energies**: -0.89 eV per atom
**Total moment**: 0.00 μB per atom